1.
The following is a PBE calculation of a relaxed structure of CoCu2Ni5, from the Alexandria database.

The value obtained for the electronic total energy is -88.1 eV per cell. As for the energy of formation: 0.0207 eV/atom.

It has space group I4/mmm (No. 139), with a = 3.563 Å, b = 3.563 Å, c = 14.035 Å, α = 90.00°, β = 90.00° and γ = 90.00°. Symmetry generates all atoms from Co at (0.000, 0.000, 0.000), Cu at (0.000, 0.000, 0.250), Ni at (0.000, 0.000, 0.500) and Ni at (0.000, 0.500, 0.121).

***

2.
The following is a PBE calculation of a relaxed structure of CoCu2Ni, from the Alexandria database.

The value obtained for the electronic total energy is -20.5 eV per cell. As for the energy of formation: 0.1457 eV/atom.

It has space group Pmmm (No. 47), with a = 2.607 Å, b = 4.165 Å, c = 4.242 Å, α = 90.00°, β = 90.00° and γ = 90.00°. Symmetry generates all atoms from Co at (0.000, 0.000, 0.000), Cu at (0.000, 0.500, 0.500), Cu at (0.500, 0.000, 0.500) and Ni at (0.500, 0.500, 0.000).

***

3.
The following is a PBE calculation of a relaxed structure of Co2Cu3Ni8, from the Alexandria database.

The value obtained for the electronic total energy is -138.7 eV per cell. As for the energy of formation: 0.2613 eV/atom.

It has space group Cmmm (No. 65), with a = 5.127 Å, b = 15.244 Å, c = 3.995 Å, α = 90.00°, β = 90.00° and γ = 90.00°. Symmetry generates all atoms from Co at (0.000, 0.244, 0.000), Cu at (0.000, 0.000, 0.000), Cu at (0.232, 0.500, 0.500), Ni at (0.000, 0.148, 0.500), Ni at (0.000, 0.337, 0.500) and Ni at (0.230, 0.382, 0.000).

***

4.
The following is a PBE calculation of a relaxed structure of Co3CuNi6, from the Alexandria database.

The value obtained for the electronic total energy is -118.6 eV per cell. As for the energy of formation: 0.0794 eV/atom.

It has space group P2_1/m (No. 11), with a = 9.182 Å, b = 2.449 Å, c = 10.087 Å, α = 90.00°, β = 100.95° and γ = 90.00°. Symmetry generates all atoms from Co at (0.075, 0.250, 0.094), Co at (0.378, 0.750, 0.501), Co at (0.422, 0.250, 0.904), Cu at (0.040, 0.250, 0.715), Ni at (0.130, 0.250, 0.487), Ni at (0.192, 0.750, 0.926), Ni at (0.224, 0.750, 0.288), Ni at (0.274, 0.750, 0.702), Ni at (0.343, 0.250, 0.119) and Ni at (0.494, 0.750, 0.306).

***

5.
The following is a PBE calculation of a relaxed structure of Co6CuNi, from the Alexandria database.

The value obtained for the electronic total energy is -416.5 eV per cell. As for the energy of formation: 0.0564 eV/atom.

It has space group Cmmm (No. 65), with a = 7.076 Å, b = 10.003 Å, c = 9.973 Å, α = 90.00°, β = 90.00° and γ = 90.00°. Symmetry generates all atoms from Co at (0.000, 0.000, 0.000), Co at (0.000, 0.000, 0.500), Co at (0.000, 0.249, 0.248), Co at (0.000, 0.500, 0.000), Co at (0.000, 0.500, 0.500), Co at (0.248, 0.124, 0.374), Co at (0.248, 0.126, 0.124), Cu at (0.000, 0.251, 0.500), Cu at (0.000, 0.500, 0.250), Ni at (0.000, 0.000, 0.250) and Ni at (0.000, 0.250, 0.000).

***

6.
The following is a PBE calculation of a relaxed structure of Co2CuNi9, from the Alexandria database.

The value obtained for the electronic total energy is -70.2 eV per cell. As for the energy of formation: 0.0113 eV/atom.

It has space group P4/mmm (No. 123), with a = 3.529 Å, b = 3.529 Å, c = 10.584 Å, α = 90.00°, β = 90.00° and γ = 90.00°. Symmetry generates all atoms from Co at (0.000, 0.000, 0.169), Cu at (0.000, 0.000, 0.500), Ni at (0.000, 0.500, 0.000), Ni at (0.000, 0.500, 0.330), Ni at (0.500, 0.500, 0.165) and Ni at (0.500, 0.500, 0.500).

***

7.
The following is a PBE calculation of a relaxed structure of Co2CuNi3, from the Alexandria database.

As for the energy above the most stable polymorph in this dataset: 0.0000 eV per atom. The value obtained for the electronic total energy is -35.6 eV per cell. As for the energy of formation: 0.0109 eV/atom.

It has space group P4/mmm (No. 123), with a = 2.489 Å, b = 2.489 Å, c = 10.685 Å, α = 90.00°, β = 90.00° and γ = 90.00°. Symmetry generates all atoms from Co at (0.000, 0.000, 0.167), Cu at (0.000, 0.000, 0.500), Ni at (0.500, 0.500, 0.000) and Ni at (0.500, 0.500, 0.328).

***

8.
The following is a PBE calculation of a relaxed structure of CoCu2Ni, from the Alexandria database.

The value obtained for the electronic total energy is -81.8 eV per cell. As for the energy of formation: 0.1602 eV/atom.

It has space group F-43m (No. 216), with a = 5.687 Å, b = 5.687 Å, c = 5.687 Å, α = 90.00°, β = 90.00° and γ = 90.00°. Symmetry generates all atoms from Co at (0.000, 0.000, 0.000), Cu at (0.000, 0.000, 0.500), Cu at (0.250, 0.250, 0.750) and Ni at (0.250, 0.250, 0.250).

***

9.
The following is a PBE calculation of a relaxed structure of Co3CuNi3, from the Alexandria database.

The value obtained for the electronic total energy is -84.7 eV per cell. As for the energy of formation: 0.0547 eV/atom.

It has space group P6_3/m (No. 176), with a = 6.6170 Å, b = 6.6170 Å, c = 4.0799 Å, α = 90.00°, β = 90.00° and γ = 120.00°. Symmetry generates all atoms from Co at (0.0970, 0.4797, 0.2500), Cu at (0.3333, 0.6667, 0.7500) and Ni at (0.0449, 0.2363, 0.7500).

***

10.
The following is a PBE calculation of a relaxed structure of CoCuNi, from the Alexandria database.

As for the energy above the most stable polymorph in this dataset: 0.0499 eV per atom. The value obtained for the electronic total energy is -33.6 eV per cell. As for the energy of formation: 0.0623 eV/atom.

It has space group I4mm (No. 107), with a = 2.505 Å, b = 2.505 Å, c = 10.771 Å, α = 90.00°, β = 90.00° and γ = 90.00°. Symmetry generates all atoms from Co at (0.000, 0.000, 0.000), Cu at (0.000, 0.000, 0.672) and Ni at (0.000, 0.000, 0.343).

***

11.
The following is a PBE calculation of a relaxed structure of Co3Cu2Ni9, from the Alexandria database.

The value obtained for the electronic total energy is -157.0 eV per cell. As for the energy of formation: 0.2186 eV/atom.

It has space group P6_3/m (No. 176), with a = 7.5897 Å, b = 7.5897 Å, c = 6.6884 Å, α = 90.00°, β = 90.00° and γ = 120.00°. Symmetry generates all atoms from Co at (0.0318, 0.1874, 0.2500), Cu at (0.3333, 0.6667, 0.0697), Ni at (0.0217, 0.3370, 0.5605) and Ni at (0.1397, 0.6417, 0.7500).

***

12.
The following is a PBE calculation of a relaxed structure of Co4CuNi15, from the Alexandria database.

The value obtained for the electronic total energy is -119.0 eV per cell. As for the energy of formation: 0.0141 eV/atom.

It has space group P4/mmm (No. 123), with a = 3.532 Å, b = 3.532 Å, c = 17.528 Å, α = 90.00°, β = 90.00° and γ = 90.00°. Symmetry generates all atoms from Co at (0.000, 0.000, 0.100), Co at (0.000, 0.000, 0.301), Cu at (0.000, 0.000, 0.500), Ni at (0.000, 0.500, 0.000), Ni at (0.000, 0.500, 0.199), Ni at (0.000, 0.500, 0.398), Ni at (0.500, 0.500, 0.100), Ni at (0.500, 0.500, 0.299) and Ni at (0.500, 0.500, 0.500).

***

The evaluated volume for the records listed, in turn: 11.13 11.52 12.01 11.13 11.03 10.98 11.04 11.49 11.05 11.26 11.92 10.93 Å³ per atom.